1.
Density functional theory data (PBE) for crystalline Hf2PaSiC4 at its relaxed geometry.

- Calculated volume: 410.7 Å³/cell
- Crystal system: orthorhombic
- Uncorrected energy: -9.45 eV/atom
- Formation energy without anion corrections: -487 meV/atom

The structure in CIF format:
```
data_Hf2PaSiC4
_space_group_name_H-M_alt 'C m c m'
_space_group_IT_number 63
_space_group_name_Hall '-C 2c 2'
_cell_length_a 3.310
_cell_length_b 11.028
_cell_length_c 11.249
_cell_angle_alpha 90.00
_cell_angle_beta 90.00
_cell_angle_gamma 90.00
loop_
_atom_site_label
_atom_site_type_symbol
_atom_site_fract_x
_atom_site_fract_y
_atom_site_fract_z
_atom_site_occupancy
Hf1 Hf 0.000 0.132 0.047 1
Pa1 Pa 0.000 0.395 0.250 1
Si1 Si 0.000 0.338 0.750 1
C1 C 0.000 0.068 0.250 1
C2 C 0.000 0.230 0.624 1
C3 C 0.000 0.500 0.000 1
```

2.
Density functional theory data (PBE) for crystalline HfPaTaC3 at its relaxed geometry.

- Calculated volume: 161.7 Å³/cell
- Crystal system: monoclinic
- Energy of formation: -0.62 eV/atom
- Uncorrected energy: -10.45 eV/atom

The structure in CIF format:
```
data_HfPaTaC3
_space_group_name_H-M_alt 'P 1 21/m 1'
_space_group_IT_number 11
_cell_length_a 5.739
_cell_length_b 3.342
_cell_length_c 8.639
_cell_angle_alpha 90.00
_cell_angle_beta 102.66
_cell_angle_gamma 90.00
loop_
_space_group_symop_operation_xyz
'x,y,z'
'-x,-y,-z'
'-x,y+1/2,-z'
'x,-y+1/2,z'
loop_
_atom_site_label
_atom_site_type_symbol
_atom_site_fract_x
_atom_site_fract_y
_atom_site_fract_z
_atom_site_occupancy
Hf1 Hf 0.231 0.250 0.452 1
Pa1 Pa 0.352 0.750 0.806 1
Ta1 Ta 0.132 0.750 0.138 1
C1 C 0.047 0.250 0.663 1
C2 C 0.249 0.250 0.010 1
C3 C 0.441 0.750 0.332 1
```

3.
Density functional theory data (PBE) for crystalline Hf2PaTcC4 at its relaxed geometry.

- Calculated volume: 432.5 Å³/cell
- Crystal system: orthorhombic
- Energy of formation: -0.39 eV/atom
- Uncorrected energy: -9.98 eV/atom

The structure in CIF format:
```
data_Hf2PaTcC4
_space_group_name_H-M_alt 'C m c m'
_space_group_IT_number 63
_space_group_name_Hall '-C 2c 2'
_cell_length_a 3.328
_cell_length_b 11.528
_cell_length_c 11.274
_cell_angle_alpha 90.00
_cell_angle_beta 90.00
_cell_angle_gamma 90.00
loop_
_atom_site_label
_atom_site_type_symbol
_atom_site_fract_x
_atom_site_fract_y
_atom_site_fract_z
_atom_site_occupancy
Hf1 Hf 0.000 0.130 0.040 1
Pa1 Pa 0.000 0.387 0.250 1
Tc1 Tc 0.000 0.352 0.750 1
C1 C 0.000 0.047 0.250 1
C2 C 0.000 0.235 0.622 1
C3 C 0.000 0.500 0.000 1
```

4.
Density functional theory data (PBE) for crystalline HfPaTe2C at its relaxed geometry.

- Calculated volume: 227.8 Å³/cell
- Crystal system: tetragonal
- Uncorrected energy: -7.62 eV/atom
- Formation energy without anion corrections: -631 meV/atom

The structure in CIF format:
```
data_HfPaTe2C
_space_group_name_H-M_alt 'P 4/n m m'
_space_group_IT_number 129
_cell_length_a 3.998
_cell_length_b 3.998
_cell_length_c 14.251
_cell_angle_alpha 90.00
_cell_angle_beta 90.00
_cell_angle_gamma 90.00
loop_
_space_group_symop_operation_xyz
'x,y,z'
'-x,-y,-z'
'-y+1/2,x,z'
'y+1/2,-x,-z'
'-x+1/2,-y+1/2,z'
'x+1/2,y+1/2,-z'
'y,-x+1/2,z'
'-y,x+1/2,-z'
'x+1/2,-y,-z'
'-x+1/2,y,z'
'-y,-x,-z'
'y,x,z'
'-x,y+1/2,-z'
'x,-y+1/2,z'
'y+1/2,x+1/2,-z'
'-y+1/2,-x+1/2,z'
loop_
_atom_site_label
_atom_site_type_symbol
_atom_site_fract_x
_atom_site_fract_y
_atom_site_fract_z
_atom_site_occupancy
Hf1 Hf 0.250 0.250 0.076 1
Pa1 Pa 0.250 0.250 0.582 1
Te1 Te 0.250 0.250 0.292 1
Te2 Te 0.250 0.250 0.870 1
C1 C 0.250 0.750 0.500 1
```

5.
Density functional theory data (PBE) for crystalline HfPaTi2C4 at its relaxed geometry.

- Calculated volume: 100.0 Å³/cell
- Crystal system: monoclinic
- Energy of formation: -0.62 eV/atom
- Uncorrected energy: -9.64 eV/atom

The structure in CIF format:
```
data_HfPaTi2C4
_space_group_name_H-M_alt 'P 1 2/m 1'
_space_group_IT_number 10
_cell_length_a 5.671
_cell_length_b 3.272
_cell_length_c 5.716
_cell_angle_alpha 90.00
_cell_angle_beta 109.42
_cell_angle_gamma 90.00
loop_
_space_group_symop_operation_xyz
'x,y,z'
'-x,-y,-z'
'-x,y,-z'
'x,-y,z'
loop_
_atom_site_label
_atom_site_type_symbol
_atom_site_fract_x
_atom_site_fract_y
_atom_site_fract_z
_atom_site_occupancy
Hf1 Hf 0.000 0.000 0.000 1
Pa1 Pa 0.000 0.500 0.500 1
Ti1 Ti 0.500 0.000 0.500 1
Ti2 Ti 0.500 0.500 0.000 1
C1 C 0.264 0.500 0.250 1
C2 C 0.273 0.000 0.765 1
```

6.
Density functional theory data (PBE) for crystalline TmHf2PaC4 at its relaxed geometry.

- Calculated volume: 114.1 Å³/cell
- Crystal system: monoclinic
- Energy of formation: -0.64 eV/atom
- Uncorrected energy: -9.48 eV/atom

The structure in CIF format:
```
data_TmHf2PaC4
_space_group_name_H-M_alt 'P 1 2/m 1'
_space_group_IT_number 10
_cell_length_a 5.908
_cell_length_b 3.416
_cell_length_c 5.986
_cell_angle_alpha 90.00
_cell_angle_beta 109.17
_cell_angle_gamma 90.00
loop_
_space_group_symop_operation_xyz
'x,y,z'
'-x,-y,-z'
'-x,y,-z'
'x,-y,z'
loop_
_atom_site_label
_atom_site_type_symbol
_atom_site_fract_x
_atom_site_fract_y
_atom_site_fract_z
_atom_site_occupancy
Tm1 Tm 0.000 0.000 0.000 1
Hf1 Hf 0.000 0.500 0.500 1
Hf2 Hf 0.500 0.000 0.500 1
Pa1 Pa 0.500 0.500 0.000 1
C1 C 0.249 0.000 0.734 1
C2 C 0.261 0.500 0.265 1
```